# 1
Cs2ThGaTe5, relaxed, DFT PBE-GGA; uncorrected energy = -3.953 eV per atom; uncorrected formation energy = -744 kJ/mol of formula units; space-group type = No. 36; calculated volume = 842 Å³ per cell; total moment = 0.000 μB per atom
1.0
2.153 -11.558 0.000
2.153 11.558 0.000
0.000 0.000 16.917
Cs Th Ga Te
4 2 2 10
direct
0.125 0.875 0.500
0.141 0.859 0.867
0.859 0.141 0.367
0.875 0.125 0.000
0.197 0.803 0.197
0.803 0.197 0.697
0.427 0.573 0.591
0.573 0.427 0.091
0.055 0.945 0.185
0.312 0.688 0.558
0.313 0.687 0.826
0.330 0.670 0.181
0.485 0.515 0.459
0.515 0.485 0.959
0.670 0.330 0.681
0.687 0.313 0.326
0.688 0.312 0.058
0.945 0.055 0.685



# 2
OsBr2F, relaxed, DFT PBE-GGA; uncorrected energy = -4.505 eV per atom; offset from the most stable computed form = 0 meV per atom; uncorrected formation energy = -152 kJ/mol of formula units; space-group type = No. 2; calculated volume = 108 Å³ per cell; total moment = 0.253 μB per atom
1.0
3.775 0.000 0.000
0.000 4.071 0.000
-1.880 -0.134 7.051
Os Br F
1 2 1
direct
0.000 0.000 0.000
0.382 0.992 0.764
0.618 0.008 0.236
0.000 0.500 0.000



# 3
Li2ThMg2In2, relaxed, DFT PBE-GGA; ΔE_f = -204 meV/atom; uncorrected energy = -3.048 eV per atom; space-group type = No. 12; calculated volume = 165 Å³ per cell; total moment = 0.000 μB per atom
1.0
4.229 -2.441 0.000
4.229 2.441 0.000
-2.798 0.000 8.011
Li Th Mg In
2 1 2 2
direct
0.141 0.141 0.424
0.859 0.859 0.576
0.000 0.000 0.000
0.427 0.427 0.283
0.573 0.573 0.717
0.263 0.263 0.788
0.737 0.737 0.212



# 4
Mg2Cd2F7, relaxed, DFT PBE-GGA; uncorrected energy = -4.400 eV per atom; offset from the most stable computed form = 0 meV per atom; uncorrected formation energy = -2922 kJ/mol of formula units; space-group type = No. 227; calculated volume = 294 Å³ per cell; total moment = 0.000 μB per atom
1.0
0.000 5.277 5.277
5.277 0.000 5.277
5.277 5.277 0.000
Mg Cd F
4 4 14
direct
0.000 0.000 0.000
0.000 0.000 0.500
0.000 0.500 0.000
0.500 0.000 0.000
0.000 0.500 0.500
0.500 0.000 0.500
0.500 0.500 0.000
0.500 0.500 0.500
0.073 0.073 0.677
0.073 0.677 0.073
0.073 0.677 0.677
0.323 0.323 0.927
0.323 0.927 0.323
0.323 0.927 0.927
0.375 0.375 0.375
0.625 0.625 0.625
0.677 0.073 0.073
0.677 0.073 0.677
0.677 0.677 0.073
0.927 0.323 0.323
0.927 0.323 0.927
0.927 0.927 0.323



# 5
YFe2W, relaxed, DFT PBE-GGA; ΔE_f = 337 meV/atom; uncorrected energy = -8.749 eV per atom; offset from the most stable computed form = 176 meV per atom; space-group type = No. 225; calculated volume = 62 Å³ per cell; total moment = 0.291 μB per atom
1.0
0.000 3.143 3.143
3.143 0.000 3.143
3.143 3.143 0.000
Y Fe W
1 2 1
direct
0.000 0.000 0.000
0.250 0.250 0.250
0.750 0.750 0.750
0.500 0.500 0.500



# 6
HfFe3Sb, relaxed, DFT PBE-GGA; uncorrected energy = -6.572 eV per atom; offset from the most stable computed form = 263 meV per atom; uncorrected formation energy = 637 kJ/mol of formula units; space-group type = No. 221; calculated volume = 100 Å³ per cell; total moment = 1.182 μB per atom
1.0
4.637 0.000 0.000
0.000 4.637 0.000
0.000 0.000 4.637
Hf Fe Sb
1 3 1
direct
0.000 0.000 0.000
0.000 0.000 0.500
0.000 0.500 0.000
0.500 0.000 0.000
0.500 0.500 0.500



# 7
Li2PmEr2Tl2, relaxed, DFT PBE-GGA; ΔE_f = -178 meV/atom; uncorrected energy = -3.384 eV per atom; space-group type = No. 166; calculated volume = 182 Å³ per cell; total moment = 0.000 μB per atom
1.0
2.427 1.401 8.900
-2.427 1.401 8.900
0.000 -2.803 8.900
Li Pm Er Tl
2 1 2 2
direct
0.096 0.096 0.096
0.904 0.904 0.904
0.500 0.500 0.500
0.372 0.372 0.372
0.628 0.628 0.628
0.241 0.241 0.241
0.759 0.759 0.759



# 8
MnOsCl2, relaxed, DFT PBE-GGA; uncorrected energy = -5.451 eV per atom; offset from the most stable computed form = 603 meV per atom; uncorrected formation energy = 221 kJ/mol of formula units; space-group type = No. 166; calculated volume = 59 Å³ per cell; total moment = 0.000 μB per atom
1.0
1.497 0.864 7.590
-1.497 0.864 7.590
0.000 -1.729 7.590
Mn Os Cl
1 1 2
direct
0.000 0.000 0.000
0.500 0.500 0.500
0.400 0.400 0.400
0.600 0.600 0.600



# 9
Nd3Sm2HoTe6, relaxed, DFT PBE-GGA; uncorrected energy = -5.313 eV per atom; uncorrected formation energy = -1600 kJ/mol of formula units; space-group type = No. 12; calculated volume = 375 Å³ per cell; total moment = 0.000 μB per atom
1.0
9.717 -2.211 0.000
9.717 2.211 0.000
-2.098 0.000 8.724
Nd Sm Ho Te
3 2 1 6
direct
0.000 0.000 0.000
0.330 0.330 0.666
0.670 0.670 0.334
0.331 0.331 0.164
0.669 0.669 0.836
0.000 0.000 0.500
0.162 0.162 0.584
0.167 0.167 0.081
0.500 0.500 0.259
0.500 0.500 0.741
0.833 0.833 0.919
0.838 0.838 0.416



# 10
SiTeW, relaxed, DFT PBE-GGA; uncorrected energy = -6.508 eV per atom; offset from the most stable computed form = 328 meV per atom; uncorrected formation energy = 192 kJ/mol of formula units; space-group type = No. 42; calculated volume = 59 Å³ per cell; total moment = 0.000 μB per atom
1.0
0.000 2.467 6.953
1.706 0.000 6.953
1.706 2.467 0.000
Si Te W
1 1 1
direct
0.000 0.000 0.000
0.702 0.702 0.298
0.367 0.367 0.633



# 11
SrSm2RhO5, relaxed, DFT PBE-GGA; uncorrected energy = -7.370 eV per atom; uncorrected formation energy = -2226 kJ/mol of formula units; space-group type = No. 127; calculated volume = 262 Å³ per cell; total moment = 0.114 μB per atom
1.0
6.680 0.000 0.000
0.000 6.680 0.000
0.000 0.000 5.865
Sr Sm Rh O
2 4 2 10
direct
0.000 0.000 0.000
0.500 0.500 0.000
0.173 0.327 0.500
0.327 0.827 0.500
0.673 0.173 0.500
0.827 0.673 0.500
0.000 0.500 0.000
0.500 0.000 0.000
0.000 0.000 0.500
0.143 0.643 0.251
0.143 0.643 0.749
0.357 0.143 0.251
0.357 0.143 0.749
0.500 0.500 0.500
0.643 0.857 0.251
0.643 0.857 0.749
0.857 0.357 0.251
0.857 0.357 0.749



# 12
Pm2Er3In, relaxed, DFT PBE-GGA; ΔE_f = 258 meV/atom; uncorrected energy = -4.063 eV per atom; offset from the most stable computed form = 408 meV per atom; space-group type = No. 44; calculated volume = 195 Å³ per cell; total moment = 0.000 μB per atom
1.0
-1.690 4.977 5.793
1.690 -4.977 5.793
1.690 4.977 -5.793
Pm Er In
2 3 1
direct
0.171 0.000 0.171
0.829 0.000 0.829
0.281 0.281 0.000
0.586 0.247 0.339
0.908 0.247 0.661
0.515 0.015 0.500